[1]
Below is an optimized crystal structure of YCo2Hg, with properties calculated at the PBE-GGA level.

It has space group F-43m (No. 216), with a = 6.6018 Å, b = 6.6018 Å, c = 6.6018 Å, α = 90.00°, β = 90.00° and γ = 90.00°. The distinct sites, in fractional coordinates, are Y at (0.0000, 0.0000, 0.0000), Co at (0.0000, 0.0000, 0.5000), Co at (0.2500, 0.2500, 0.2500) and Hg at (0.2500, 0.2500, 0.7500).

The energy of formation is 0.239 eV per atom. For the magnetization, the calculation gives 0.761 μB per atom. The value obtained for the density is 9.40 g/cm³.

---

[2]
Below is an optimized crystal structure of YCoHg2, with properties calculated at the PBE-GGA level.

It has space group F-43m (No. 216), with a = 6.8845 Å, b = 6.8845 Å, c = 6.8845 Å, α = 90.00°, β = 90.00° and γ = 90.00°. The distinct sites, in fractional coordinates, are Y at (0.0000, 0.0000, 0.0000), Co at (0.2500, 0.2500, 0.2500), Hg at (0.0000, 0.0000, 0.5000) and Hg at (0.2500, 0.2500, 0.7500).

The energy of formation is 0.018 eV per atom. For the magnetization, the calculation gives 0.375 μB per atom. The value obtained for the density is 11.18 g/cm³.

---

[3]
Below is an optimized crystal structure of YZnCoHg, with properties calculated at the PBE-GGA level.

It has space group F-43m (No. 216), with a = 6.7246 Å, b = 6.7246 Å, c = 6.7246 Å, α = 90.00°, β = 90.00° and γ = 90.00°. The distinct sites, in fractional coordinates, are Y at (0.0000, 0.0000, 0.0000), Zn at (0.2500, 0.2500, 0.2500), Co at (0.0000, 0.0000, 0.5000) and Hg at (0.2500, 0.2500, 0.7500).

The energy of formation is -0.003 eV per atom. For the magnetization, the calculation gives 0.346 μB per atom. The energy above the most stable polymorph in this dataset comes out at 9 meV per atom. The value obtained for the density is 9.04 g/cm³.

---

[4]
Below is an optimized crystal structure of YZnCoHg, with properties calculated at the PBE-GGA level.

It has space group F-43m (No. 216), with a = 6.7115 Å, b = 6.7115 Å, c = 6.7115 Å, α = 90.00°, β = 90.00° and γ = 90.00°. The distinct sites, in fractional coordinates, are Y at (0.0000, 0.0000, 0.0000), Zn at (0.0000, 0.0000, 0.5000), Co at (0.2500, 0.2500, 0.7500) and Hg at (0.2500, 0.2500, 0.2500).

The energy of formation is -0.012 eV per atom. For the magnetization, the calculation gives 0.329 μB per atom. The energy above the most stable polymorph in this dataset comes out at 0 meV per atom. The value obtained for the density is 9.09 g/cm³.